No. 1
First-principles (PBE-GGA) data for a relaxed structure of BeNi2W, as listed in Alexandria via LeMat-Bulk.

a b c (Å): 2.700 2.700 6.231
angles (deg): 90.00 90.00 90.00
Fractional coordinates of all 4 atoms:
Ni1 0.000 0.000 0.970
Ni2 0.500 0.500 0.228
W1 0.000 0.000 0.515
Be1 0.500 0.500 0.787

Computed properties:
Total magnetic moment, μB per atom: 0.000
VASP energy, Ha/atom: -0.2621
Energy of formation from the pure elements, eV/atom: -0.071
Density of states at the Fermi level, states/eV per cell: 3.320
Mass density, g cm⁻³: 11.3


No. 2
First-principles (PBE-GGA) data for a relaxed structure of Dy2TlS4, as listed in Alexandria via LeMat-Bulk.

a b c (Å): 8.189 8.189 8.187
angles (deg): 119.99 119.99 90.03
Fractional coordinates of all 14 atoms:
Dy1 0.625 0.375 0.750
Dy2 0.625 0.875 0.250
Dy3 0.625 0.375 0.250
Dy4 0.125 0.375 0.750
Tl1 0.250 0.750 0.500
Tl2 0.000 0.000 0.000
S1 0.862 0.138 0.276
S2 0.388 0.612 0.224
S3 0.862 0.585 0.724
S4 0.862 0.138 0.724
S5 0.415 0.138 0.276
S6 0.388 0.165 0.776
S7 0.388 0.612 0.776
S8 0.835 0.612 0.224

Computed properties:
Total magnetic moment, μB per atom: 0.000
VASP energy, Ha/atom: -0.2033
Uncorrected formation energy, eV per atom: -1.522
Density of states at the Fermi level, states/eV per cell: 5.400
Mass density, g cm⁻³: 5.6


No. 3
First-principles (PBE-GGA) data for a relaxed structure of Dy12AlRu6, as listed in Alexandria via LeMat-Bulk.

a b c (Å): 8.477 8.477 8.477
angles (deg): 109.47 109.47 109.47
Fractional coordinates of all 19 atoms:
Dy1 0.294 0.099 0.806
Dy2 0.294 0.488 0.194
Dy3 0.706 0.512 0.806
Dy4 0.706 0.901 0.194
Dy5 0.099 0.806 0.294
Dy6 0.488 0.194 0.294
Dy7 0.512 0.806 0.706
Dy8 0.901 0.194 0.706
Dy9 0.806 0.294 0.099
Dy10 0.194 0.294 0.488
Dy11 0.806 0.706 0.512
Dy12 0.194 0.706 0.901
Al1 0.000 0.000 0.000
Ru1 0.375 0.500 0.875
Ru2 0.625 0.500 0.125
Ru3 0.500 0.875 0.375
Ru4 0.500 0.125 0.625
Ru5 0.875 0.375 0.500
Ru6 0.125 0.625 0.500

Computed properties:
Total magnetic moment, μB per atom: 0.000
VASP energy, Ha/atom: -0.2318
Energy of formation from the pure elements, eV/atom: -0.274
Density of states at the Fermi level, states/eV per cell: 19.440
Mass density, g cm⁻³: 9.1